# 1
U3Ti GGA-PBE optimized geometry; space group = No. 194; raw total energy = -10.17 eV per atom; polymorph energy (0 for the lowest one) = 166 meV per atom; spin magnetization = 0.002 μB/f.u.
1.0
1.2161 -0.1523 -5.7625
-3.5414 -4.0672 2.3717
-4.2027 3.0945 -0.9687
U Ti
6 2
direct
0.6477 0.8239 0.2500 U
0.3523 0.1761 0.7500 U
0.1761 0.3523 0.2500 U
0.1761 0.8239 0.2500 U
0.8239 0.1761 0.7500 U
0.8239 0.6477 0.7500 U
0.6667 0.3333 0.2500 Ti
0.3333 0.6667 0.7500 Ti


# 2
U4Ti GGA-PBE optimized geometry; space group = No. 221; raw total energy = -9.29 eV per atom; spin magnetization = 8.855 μB/f.u.
1.0
-0.6620 1.6564 4.6953
-4.9095 -1.0051 -0.3377
0.8283 -4.6340 1.7516
U Ti
4 1
direct
0.0000 0.5000 0.5000 U
0.5000 0.0000 0.5000 U
0.0000 0.0000 0.0000 U
0.5000 0.5000 0.0000 U
0.5000 0.5000 0.5000 Ti


# 3
UTi4 GGA-PBE optimized geometry; space group = No. 221; raw total energy = -7.76 eV per atom; spin magnetization = 0.510 μB/f.u.
1.0
-0.5736 4.3998 -1.3810
-4.5989 -0.6486 -0.1564
-0.3408 1.3474 4.4343
Ti U
4 1
direct
0.0000 0.0000 0.0000 Ti
0.5000 0.0000 0.5000 Ti
0.5000 0.5000 0.0000 Ti
0.0000 0.5000 0.5000 Ti
0.5000 0.5000 0.5000 U